No. 1
This record from the Alexandria database describes a relaxed Pr7Sn3C2 crystal. The functional is PBE.

Results
The calculation puts the magnetic moment at 0.0000 μB/atom. The uncorrected energy is -69.46 eV for the cell shown. The formation energy from the elements comes out at -462 meV per atom.

Lattice parameters (Å, degrees): 5.0559 5.1775 13.0958 101.40 90.00 90.00
Closest atoms and distances in Å follow each position.
Fractional positions:
Pr 0.0000 0.3973 0.7946  2 C 2.59
Pr 0.0000 0.7988 0.5976  1 C 2.52
Pr 0.0000 0.0000 0.0000  2 C 2.65
Pr 0.0000 0.6027 0.2054  2 C 2.59
Pr 0.5000 0.0967 0.1935  2 C 2.53
Pr 0.5000 0.9033 0.8065  2 C 2.53
Pr 0.0000 0.2012 0.4024  1 C 2.52
Sn 0.5000 0.5000 0.0000  12 Pr 3.59-3.65
Sn 0.5000 0.6902 0.3805  10 Pr 3.38-3.76
Sn 0.5000 0.3098 0.6195  10 Pr 3.38-3.76
C 0.0000 0.8970 0.7940  6 Pr 2.52-2.65
C 0.0000 0.1030 0.2060  6 Pr 2.52-2.65

---

No. 2
This record from the Alexandria database describes a relaxed CsP2Pb2O7 crystal. The functional is PBE.

Results
The calculation puts the magnetic moment at 0.0000 μB/atom. The energy relative to the elements, uncorrected comes out at -1843 meV/atom. The uncorrected energy is -75.92 eV for the cell shown.

Lattice parameters (Å, degrees): 5.6873 5.6873 8.9207 71.41 71.41 60.00
Closest atoms and distances in Å follow each position.
Fractional positions:
Cs 0.5000 0.5000 0.5000  6 O 3.22
P 0.9342 0.9342 0.1974  4 O 1.54-1.64
P 0.0658 0.0658 0.8026  4 O 1.54-1.64
Pb 0.6899 0.6899 0.9303  3 O 2.41
Pb 0.3101 0.3101 0.0697  3 O 2.41
O 0.1338 0.9902 0.2472  1 P 1.54
O 0.6288 0.1338 0.2472  1 P 1.54
O 0.9902 0.6288 0.2472  1 P 1.54
O 0.3712 0.0098 0.7528  1 P 1.54
O 0.8662 0.3712 0.7528  1 P 1.54
O 0.0000 0.0000 0.0000  2 P 1.64
O 0.0098 0.8662 0.7528  1 P 1.54

---

No. 3
This record from the Alexandria database describes a relaxed Be2Nb2Al crystal. The functional is PBE.

Results
The calculation puts the polymorph energy (0 for the lowest one) at 0.064 eV per formula unit. The calculation puts the magnetic moment at 0.0000 μB/atom. The uncorrected energy is -65.36 eV for the cell shown. The formation energy from the elements comes out at -269 meV per atom.

Lattice parameters (Å, degrees): 6.1825 6.1825 3.5544 90.00 90.00 90.00
Closest atoms and distances in Å follow each position.
Fractional positions:
Be 0.3822 0.8822 0.0000  1 Be 2.06
Be 0.8822 0.6178 0.0000  1 Be 2.06
Be 0.6178 0.1178 0.0000  1 Be 2.06
Be 0.1178 0.3822 0.0000  1 Be 2.06
Nb 0.1773 0.6773 0.5000  6 Be 2.52-2.57
Nb 0.6773 0.8227 0.5000  6 Be 2.52-2.57
Nb 0.8227 0.3227 0.5000  6 Be 2.52-2.57
Nb 0.3227 0.1773 0.5000  6 Be 2.52-2.57
Al 0.0000 0.0000 0.0000  4 Be 2.47
Al 0.5000 0.5000 0.0000  4 Be 2.47

---

No. 4
This record from the Alexandria database describes a relaxed MgCuBPd2 crystal. The functional is PBE.

Results
The calculation puts the magnetic moment at 0.0000 μB/atom. The uncorrected energy is -24.28 eV for the cell shown. The formation energy from the elements comes out at -304 meV per atom.

Lattice parameters (Å, degrees): 4.1967 4.1967 4.0089 90.00 90.00 90.00
Closest atoms and distances in Å follow each position.
Fractional positions:
Mg 0.5000 0.5000 0.5000  8 Pd 2.90, 4 Cu 2.97
B 0.0000 0.0000 0.0000  2 Cu 2.00, 4 Pd 2.10
Cu 0.0000 0.0000 0.5000  2 B 2.00
Pd 0.0000 0.5000 0.0000  2 B 2.10
Pd 0.5000 0.0000 0.0000  2 B 2.10

---

No. 5
This record from the Alexandria database describes a relaxed HoTeO4 crystal. The functional is PBE.

Results
The calculation puts the polymorph energy (0 for the lowest one) at 0.000 eV per formula unit. The calculation puts the magnetic moment at 0.0000 μB/atom. The energy relative to the elements, uncorrected comes out at -2028 meV/atom. The uncorrected energy is -79.44 eV for the cell shown.

Lattice parameters (Å, degrees): 5.1585 5.4772 5.8662 90.00 90.00 90.00
Closest atoms and distances in Å follow each position.
Fractional positions:
Ho 0.0000 0.5000 0.1958  6 O 2.19-2.34
Ho 0.5000 0.5000 0.6958  6 O 2.19-2.34
Te 0.0000 0.0000 0.8424  6 O 2.01-2.17
Te 0.5000 0.0000 0.3424  6 O 2.01-2.17
O 0.2403 0.8442 0.0902  2 Te 2.09-2.17, 1 Ho 2.34
O 0.1974 0.3113 0.8907  1 Te 2.01, 1 Ho 2.19
O 0.3026 0.3113 0.3907  1 Te 2.01, 1 Ho 2.19
O 0.2597 0.8442 0.5902  2 Te 2.09-2.17, 1 Ho 2.34
O 0.6974 0.6887 0.3907  1 Te 2.01, 1 Ho 2.19
O 0.7403 0.1558 0.5902  2 Te 2.09-2.17, 1 Ho 2.34
O 0.7597 0.1558 0.0902  2 Te 2.09-2.17, 1 Ho 2.34
O 0.8026 0.6887 0.8907  1 Te 2.01, 1 Ho 2.19

---

No. 6
This record from the Alexandria database describes a relaxed Rb4U3TiTe8 crystal. The functional is PBE.

Results
The calculation puts the magnetic moment at 0.6251 μB/atom. The energy relative to the elements, uncorrected comes out at -827 meV/atom. The uncorrected energy is -83.99 eV for the cell shown.

Lattice parameters (Å, degrees): 8.8844 10.0362 8.8846 116.28 120.00 90.00
Closest atoms and distances in Å follow each position.
Fractional positions:
Rb 0.5000 0.0000 0.0000  6 Te 3.76
Rb 0.5000 0.0000 0.5000  6 Te 3.61-3.63
Rb 0.0000 0.0000 0.0000  6 Te 3.61-3.63
Rb 0.0000 0.0000 0.5000  6 Te 3.61-3.63
U 0.5000 0.5000 0.0000  6 Te 3.12
U 0.5000 0.5000 0.5000  6 Te 3.12
U 0.0000 0.5000 0.5000  6 Te 3.12
Ti 0.0000 0.5000 0.0000  6 Te 2.97
Te 0.2239 0.6955 0.9716  1 Ti 2.97, 2 U 3.12
Te 0.2240 0.6956 0.4479  1 Ti 2.97, 2 U 3.12
Te 0.2647 0.2942 0.5294  3 U 3.12
Te 0.7477 0.6955 0.9716  1 Ti 2.97, 2 U 3.12
Te 0.2523 0.3045 0.0284  1 Ti 2.97, 2 U 3.12
Te 0.7353 0.7058 0.4706  3 U 3.12
Te 0.7760 0.3044 0.5521  1 Ti 2.97, 2 U 3.12
Te 0.7761 0.3045 0.0284  1 Ti 2.97, 2 U 3.12

---

No. 7
This record from the Alexandria database describes a relaxed CeNd2Ga crystal. The functional is PBE.

Results
The calculation puts the polymorph energy (0 for the lowest one) at 0.655 eV per formula unit. The calculation puts the magnetic moment at 0.0000 μB/atom. The uncorrected energy is -18.69 eV for the cell shown. The formation energy from the elements comes out at -47 meV per atom.

Lattice parameters (Å, degrees): 5.3776 5.3776 5.3776 60.00 60.00 60.00
Closest atoms and distances in Å follow each position.
Fractional positions:
Nd 0.2500 0.2500 0.2500  4 Ce 3.29, 4 Ga 3.29
Nd 0.7500 0.7500 0.7500  4 Ga 3.29, 4 Ce 3.29
Ga 0.5000 0.5000 0.5000  8 Nd 3.29
Ce 0.0000 0.0000 0.0000  8 Nd 3.29

---

No. 8
This record from the Alexandria database describes a relaxed Tm4Sc3S8 crystal. The functional is PBE.

Results
The calculation puts the magnetic moment at 0.0000 μB/atom. The energy relative to the elements, uncorrected comes out at -1968 meV/atom. The uncorrected energy is -99.42 eV for the cell shown.

Lattice parameters (Å, degrees): 7.5725 7.5453 7.5453 90.04 120.10 120.10
Closest atoms and distances in Å follow each position.
Fractional positions:
Tm 0.5000 0.0000 0.0000  6 S 2.70
Tm 0.0000 0.5000 0.0000  6 S 2.67
Tm 0.0000 0.0000 0.0000  6 S 2.70
Tm 0.0000 0.0000 0.5000  6 S 2.67
Sc 0.5000 0.5000 0.0000  6 S 2.67
Sc 0.5000 0.0000 0.5000  6 S 2.67
Sc 0.5000 0.5000 0.5000  6 S 2.63
S 0.5065 0.2566 0.2566  3 Sc 2.63-2.67, 2 Tm 2.70
S 0.0000 0.7468 0.2532  3 Tm 2.67-2.70, 2 Sc 2.67
S 0.0065 0.2566 0.2566  1 Sc 2.63, 4 Tm 2.67-2.70
S 0.5000 0.7468 0.2532  3 Sc 2.63-2.67, 3 Tm 2.67-2.70
S 0.5000 0.2532 0.7468  3 Sc 2.63-2.67, 3 Tm 2.67-2.70
S 0.9935 0.7434 0.7434  1 Sc 2.63, 4 Tm 2.67-2.70
S 0.0000 0.2532 0.7468  3 Tm 2.67-2.70, 2 Sc 2.67
S 0.4935 0.7434 0.7434  3 Sc 2.63-2.67, 2 Tm 2.70

---

No. 9
This record from the Alexandria database describes a relaxed ScGaPS2 crystal. The functional is PBE.

Results
The calculation puts the polymorph energy (0 for the lowest one) at 0.562 eV per formula unit. The calculation puts the magnetic moment at 0.0000 μB/atom. The energy relative to the elements, uncorrected comes out at -60 meV/atom. The uncorrected energy is -23.32 eV for the cell shown.

Lattice parameters (Å, degrees): 4.6919 4.6919 4.6176 90.00 90.00 90.00
Closest atoms and distances in Å follow each position.
Fractional positions:
Sc 0.5000 0.5000 0.5000  8 S 3.29, 4 P 3.32
P 0.0000 0.0000 0.5000  2 Ga 2.31
S 0.0000 0.5000 0.0000  2 Ga 2.35
S 0.5000 0.0000 0.0000  2 Ga 2.35
Ga 0.0000 0.0000 0.0000  2 P 2.31, 4 S 2.35

---

No. 10
This record from the Alexandria database describes a relaxed LaTlPd4 crystal. The functional is PBE.

Results
The calculation puts the magnetic moment at 0.0000 μB/atom. The uncorrected energy is -31.80 eV for the cell shown. The formation energy from the elements comes out at -622 meV per atom.

Lattice parameters (Å, degrees): 5.4923 5.4923 5.4923 60.00 60.00 60.00
Closest atoms and distances in Å follow each position.
Fractional positions:
Tl 0.0000 0.0000 0.0000  12 Pd 3.22, 4 La 3.36
Pd 0.6255 0.6255 0.1236  6 Pd 2.74-2.76
Pd 0.6255 0.1236 0.6255  6 Pd 2.74-2.76
Pd 0.6255 0.6255 0.6255  6 Pd 2.74-2.76
Pd 0.1236 0.6255 0.6255  6 Pd 2.74-2.76
La 0.2500 0.2500 0.2500  12 Pd 3.22, 4 Tl 3.36

---

No. 11
This record from the Alexandria database describes a relaxed VCu5Pd6 crystal. The functional is PBE.

Results
The calculation puts the magnetic moment at 0.0000 μB/atom. The uncorrected energy is -62.69 eV for the cell shown. The formation energy from the elements comes out at -161 meV per atom.

Lattice parameters (Å, degrees): 8.0990 3.9648 6.2531 71.52 81.06 60.64
Closest atoms and distances in Å follow each position.
Fractional positions:
V 0.0000 0.0000 0.0000  8 Pd 2.62-2.63, 4 Cu 2.81
Cu 0.5000 0.1650 0.6700  8 Pd 2.66-2.69, 4 Cu 2.79-2.83
Cu 0.0000 0.3321 0.3357  8 Pd 2.62-2.65, 2 Cu 2.78, 2 V 2.81
Cu 0.5000 0.5000 0.0000  8 Pd 2.64-2.69, 4 Cu 2.79
Cu 0.0000 0.6679 0.6643  8 Pd 2.62-2.65, 2 Cu 2.78, 2 V 2.81
Cu 0.5000 0.8350 0.3300  8 Pd 2.66-2.69, 4 Cu 2.79-2.83
Pd 0.7519 0.0832 0.3301  1 V 2.63, 7 Cu 2.64-2.69, 4 Pd 2.79-2.83
Pd 0.2481 0.5868 0.3301  1 V 2.63, 7 Cu 2.64-2.69, 4 Pd 2.79-2.83
Pd 0.2420 0.2580 0.0000  2 V 2.62, 6 Cu 2.62-2.69, 4 Pd 2.79
Pd 0.7580 0.7420 0.0000  2 V 2.62, 6 Cu 2.62-2.69, 4 Pd 2.79
Pd 0.7519 0.4132 0.6699  1 V 2.63, 7 Cu 2.64-2.69, 4 Pd 2.79-2.83
Pd 0.2481 0.9168 0.6699  1 V 2.63, 7 Cu 2.64-2.69, 4 Pd 2.79-2.83

---

No. 12
This record from the Alexandria database describes a relaxed AcAlZn3Ag crystal. The functional is PBE.

Results
The calculation puts the magnetic moment at 0.0000 μB/atom. The uncorrected energy is -29.68 eV for the cell shown. The formation energy from the elements comes out at -53 meV per atom.

Lattice parameters (Å, degrees): 6.0738 6.4308 7.4372 115.62 90.00 90.00
Closest atoms and distances in Å follow each position.
Fractional positions:
Ac 0.7500 0.2904 0.5809  1 Al 3.11, 2 Ag 3.13, 6 Zn 3.36-3.43
Ac 0.2500 0.7096 0.4191  1 Al 3.11, 2 Ag 3.13, 6 Zn 3.36-3.43
Al 0.2500 0.9418 0.8836  5 Zn 2.60-2.61
Al 0.7500 0.0582 0.1164  5 Zn 2.60-2.61
Zn 0.2500 0.1365 0.2729  1 Al 2.61, 1 Ag 2.82
Zn 0.0000 0.3044 0.0000  1 Zn 2.52, 2 Al 2.60
Zn 0.5000 0.6956 0.0000  1 Zn 2.52, 2 Al 2.60
Zn 0.5000 0.3044 0.0000  1 Zn 2.52, 2 Al 2.60
Zn 0.0000 0.6956 0.0000  1 Zn 2.52, 2 Al 2.60
Zn 0.7500 0.8635 0.7271  1 Al 2.61, 1 Ag 2.82
Ag 0.2500 0.3467 0.6933  5 Zn 2.82-2.85, 2 Ac 3.13
Ag 0.7500 0.6533 0.3067  5 Zn 2.82-2.85, 2 Ac 3.13